LiCaNi2Ag | PBE-GGA | relaxed

POSCAR file:
```
LiCaNi2Ag
1.0
4.7380 0.0000 0.0000
0.0000 5.3759 0.0000
0.0000 0.0000 4.7380
Ni Ag Ca Li
2 1 1 1
Cartesian
0.0000 0.0000 2.3690
2.3690 0.0000 0.0000
0.0000 2.6879 0.0000
0.0000 0.0000 0.0000
2.3690 2.6879 2.3690
```

Results
**DOS(E_F)**: 1.694 states/eV/f.u.
**Magnetization**: 0.00 μB per cell
**DFT formation energy**: 1071.0 meV per atom